No. 1
Entry from Alexandria: a relaxed HgIrCl2 crystal (GGA-PBE).

abc: 6.188 6.188 6.188
angles: 144.41 144.41 51.21
Last column: magnetic moment on the atom in μB.
Positions (direct):
Cl1 0.250 0.750 0.500  0.01
Ir1 0.750 0.250 0.500  0.25
Cl2 0.000 0.000 0.000  0.01
Hg1 0.500 0.500 0.000  -0.01

- Raw formation energy: 763 meV per atom
- Density: 9648 kg/m3
- Energy above the lowest structure with this stoichiometry: 3.30 eV per formula unit
- Crystal system: tetragonal
- E: -9.80 eV/cell

No. 2
Entry from Alexandria: a relaxed HgIrCl2 crystal (GGA-PBE).

abc: 6.211 6.211 6.211
angles: 147.90 98.10 90.69
Last column: magnetic moment on the atom in μB.
Positions (direct):
Cl1 0.703 0.203 0.500  -0.01
Ir1 0.242 0.742 0.500  0.82
Cl2 0.075 0.075 0.000  0.11
Hg1 0.480 0.480 0.000  0.00

- Raw formation energy: 212 meV per atom
- Density: 6309 kg/m3
- Energy above the lowest structure with this stoichiometry: 1.10 eV per formula unit
- Crystal system: orthorhombic
- E: -12.01 eV/cell

No. 3
Entry from Alexandria: a relaxed HgIr3Cl crystal (GGA-PBE).

abc: 5.072 5.072 5.072
angles: 90.00 90.00 90.00
Last column: magnetic moment on the atom in μB.
Positions (direct):
Cl1 0.500 0.500 0.500  0.23
Ir1 0.000 0.500 0.000  1.58
Ir2 0.000 0.000 0.500  1.56
Ir3 0.500 0.000 0.000  1.25
Hg1 0.000 0.000 0.000  -0.01

- Raw formation energy: 2568 meV per atom
- Density: 10342 kg/m3
- Energy above the lowest structure with this stoichiometry: 5.37 eV per formula unit
- Crystal system: cubic
- E: -15.89 eV/cell

No. 4
Entry from Alexandria: a relaxed HgIrCl3 crystal (GGA-PBE).

abc: 4.853 4.853 4.853
angles: 90.00 90.00 90.00
Positions (direct):
Cl1 0.000 0.500 0.000
Hg1 0.500 0.500 0.500
Cl2 0.000 0.000 0.500
Ir1 0.000 0.000 0.000
Cl3 0.500 0.000 0.000

- Raw formation energy: 12 meV per atom
- Density: 7252 kg/m3
- Energy above the lowest structure with this stoichiometry: 0.00 eV per formula unit
- Crystal system: cubic
- E: -14.64 eV/cell

No. 5
Entry from Alexandria: a relaxed HgIrCl2 crystal (GGA-PBE).

abc: 6.696 6.696 5.274
angles: 67.11 67.11 28.76
Positions (direct):
Cl1 0.893 0.893 0.109
Cl2 0.607 0.607 0.391
Hg1 0.750 0.750 0.750
Ir1 0.250 0.250 0.250

- Raw formation energy: 36 meV per atom
- Density: 7388 kg/m3
- Energy above the lowest structure with this stoichiometry: 0.40 eV per formula unit
- Crystal system: monoclinic
- E: -12.71 eV/cell

No. 6
Entry from Alexandria: a relaxed HgIrCl2 crystal (GGA-PBE).

abc: 5.151 5.151 3.041
angles: 90.00 90.00 90.00
Last column: magnetic moment on the atom in μB.
Positions (direct):
Cl1 0.000 0.000 0.000  0.13
Cl2 0.500 0.500 0.000  0.13
Hg1 0.500 0.000 0.500  0.01
Ir1 0.000 0.500 0.500  1.65

- Raw formation energy: 892 meV per atom
- Density: 9546 kg/m3
- Energy above the lowest structure with this stoichiometry: 3.82 eV per formula unit
- Crystal system: tetragonal
- E: -9.29 eV/cell

No. 7
Entry from Alexandria: a relaxed HgIrCl2 crystal (GGA-PBE).

abc: 4.813 4.813 4.813
angles: 60.00 60.00 60.00
Last column: magnetic moment on the atom in μB.
Positions (direct):
Cl1 0.250 0.250 0.250  0.10
Ir1 0.750 0.750 0.750  1.19
Cl2 0.000 0.000 0.000  0.14
Hg1 0.500 0.500 0.500  0.01

- Raw formation energy: 924 meV per atom
- Density: 9765 kg/m3
- Energy above the lowest structure with this stoichiometry: 3.95 eV per formula unit
- Crystal system: cubic
- E: -9.16 eV/cell

No. 8
Entry from Alexandria: a relaxed HgIrCl2 crystal (GGA-PBE).

abc: 3.439 5.563 5.563
angles: 57.05 90.00 90.00
Positions (direct):
Cl1 0.500 0.283 0.283
Hg1 0.000 0.543 0.543
Cl2 0.000 0.914 0.914
Ir1 0.500 0.760 0.760

- Raw formation energy: 73 meV per atom
- Density: 8623 kg/m3
- Energy above the lowest structure with this stoichiometry: 0.55 eV per formula unit
- Crystal system: orthorhombic
- E: -12.56 eV/cell

No. 9
Entry from Alexandria: a relaxed Hg4IrCl crystal (GGA-PBE).

abc: 5.786 5.786 5.786
angles: 60.00 60.00 60.00
Last column: magnetic moment on the atom in μB.
Positions (direct):
Cl1 0.000 0.000 0.000  0.07
Hg1 0.375 0.874 0.375  0.01
Ir1 0.750 0.750 0.750  0.80
Hg2 0.375 0.375 0.375  0.01
Hg3 0.874 0.375 0.375  0.01
Hg4 0.375 0.375 0.874  0.01

- Raw formation energy: 721 meV per atom
- Density: 12486 kg/m3
- Crystal system: cubic
- E: -7.59 eV/cell

No. 10
Entry from Alexandria: a relaxed HgIrCl2 crystal (GGA-PBE).

abc: 3.451 3.451 8.903
angles: 90.00 90.00 119.75
Positions (direct):
Cl1 0.500 0.500 0.305
Hg1 0.000 0.000 0.519
Cl2 0.000 0.000 0.925
Ir1 0.500 0.500 0.751

- Raw formation energy: 159 meV per atom
- Density: 8367 kg/m3
- Energy above the lowest structure with this stoichiometry: 0.89 eV per formula unit
- Crystal system: orthorhombic
- E: -12.22 eV/cell

No. 11
Entry from Alexandria: a relaxed HgIrCl2 crystal (GGA-PBE).

abc: 3.206 3.206 8.359
angles: 90.00 90.00 90.00
Last column: magnetic moment on the atom in μB.
Positions (direct):
Ir1 0.500 0.500 0.748  1.29
Hg1 0.000 0.000 0.522  -0.01
Cl1 0.000 0.000 0.919  0.28
Cl2 0.500 0.500 0.311  0.00

- Raw formation energy: 439 meV per atom
- Density: 8961 kg/m3
- Energy above the lowest structure with this stoichiometry: 2.01 eV per formula unit
- Crystal system: tetragonal
- E: -11.10 eV/cell

No. 12
Entry from Alexandria: a relaxed HgIrCl2 crystal (GGA-PBE).

abc: 9.817 9.817 9.817
angles: 21.71 21.71 21.71
Last column: magnetic moment on the atom in μB.
Positions (direct):
Cl1 0.041 0.041 0.041  0.09
Cl2 0.459 0.459 0.459  0.09
Hg1 0.250 0.250 0.250  0.00
Ir1 0.750 0.750 0.750  0.70

- Raw formation energy: 133 meV per atom
- Density: 6787 kg/m3
- Energy above the lowest structure with this stoichiometry: 0.78 eV per formula unit
- Crystal system: trigonal
- E: -12.32 eV/cell

No. 13
Entry from Alexandria: a relaxed Hg3IrCl crystal (GGA-PBE).

abc: 5.263 5.263 5.263
angles: 90.00 90.00 90.00
Positions (direct):
Cl1 0.500 0.500 0.500
Hg1 0.000 0.000 0.500
Hg2 0.000 0.500 0.000
Hg3 0.500 0.000 0.000
Ir1 0.000 0.000 0.000

- Raw formation energy: 267 meV per atom
- Density: 9450 kg/m3
- Energy above the lowest structure with this stoichiometry: 0.00 eV per formula unit
- Crystal system: cubic
- E: -10.28 eV/cell

No. 14
Entry from Alexandria: a relaxed Hg3IrCl crystal (GGA-PBE).

abc: 5.359 5.359 5.359
angles: 90.00 90.00 90.00
Last column: magnetic moment on the atom in μB.
Positions (direct):
Hg1 0.500 0.000 0.000  -0.04
Cl1 0.000 0.000 0.000  -0.05
Hg2 0.000 0.500 0.000  0.02
Hg3 0.000 0.000 0.500  0.05
Ir1 0.500 0.500 0.500  1.68

- Raw formation energy: 1353 meV per atom
- Density: 8947 kg/m3
- Energy above the lowest structure with this stoichiometry: 5.43 eV per formula unit
- Crystal system: cubic
- E: -4.85 eV/cell

No. 15
Entry from Alexandria: a relaxed HgIrCl crystal (GGA-PBE).

abc: 6.506 6.506 6.506
angles: 152.34 152.34 39.52
Last column: magnetic moment on the atom in μB.
Positions (direct):
Cl1 0.025 0.025 0.000  0.09
Hg1 0.310 0.310 0.000  0.00
Ir1 0.665 0.665 0.000  0.48

- Raw formation energy: 698 meV per atom
- Density: 12005 kg/m3
- Energy above the lowest structure with this stoichiometry: 0.50 eV per formula unit
- Crystal system: tetragonal
- E: -8.92 eV/cell

No. 16
Entry from Alexandria: a relaxed HgIr3Cl crystal (GGA-PBE).

abc: 4.473 4.473 4.473
angles: 90.00 90.00 90.00
Positions (direct):
Hg1 0.500 0.500 0.500
Ir1 0.500 0.000 0.000
Ir2 0.000 0.500 0.000
Ir3 0.000 0.000 0.500
Cl1 0.000 0.000 0.000

- Raw formation energy: 1494 meV per atom
- Density: 15077 kg/m3
- Energy above the lowest structure with this stoichiometry: 0.00 eV per formula unit
- Crystal system: cubic
- E: -21.26 eV/cell

No. 17
Entry from Alexandria: a relaxed HgIrCl crystal (GGA-PBE).

abc: 4.437 4.437 3.259
angles: 90.00 90.00 120.00
Positions (direct):
Ir1 0.333 0.667 0.833
Hg1 0.667 0.333 0.333
Cl1 0.000 0.000 0.833

- Raw formation energy: 726 meV per atom
- Density: 12802 kg/m3
- Energy above the lowest structure with this stoichiometry: 0.58 eV per formula unit
- Crystal system: hexagonal
- E: -8.83 eV/cell

No. 18
Entry from Alexandria: a relaxed KHgIrCl2 crystal (GGA-PBE).

abc: 5.733 6.459 5.733
angles: 90.00 90.00 90.00
Last column: magnetic moment on the atom in μB.
Positions (direct):
Hg1 0.500 0.500 0.500  0.06
K1 0.000 0.000 0.000  0.01
Cl1 0.500 0.000 0.000  0.22
Ir1 0.000 0.500 0.000  2.65
Cl2 0.000 0.000 0.500  0.24

- Raw formation energy: 857 meV per atom
- Density: 3933 kg/m3
- Crystal system: tetragonal
- E: -9.67 eV/cell

No. 19
Entry from Alexandria: a relaxed KHgIrCl6 crystal (GGA-PBE).

abc: 7.110 7.110 10.781
angles: 90.00 90.00 120.00
Positions (direct):
Ir1 0.667 0.333 0.250
Cl1 0.607 0.677 0.620
Cl2 0.677 0.069 0.380
Cl3 0.393 0.323 0.380
Cl4 0.677 0.607 0.120
Cl5 0.069 0.393 0.620
Cl6 0.323 0.931 0.620
K1 0.667 0.333 0.750
Cl7 0.607 0.931 0.880
Hg1 0.000 0.000 0.000
Hg2 0.000 0.000 0.500
Cl8 0.069 0.677 0.880
Cl9 0.393 0.069 0.120
Cl10 0.931 0.607 0.380
Cl11 0.931 0.323 0.120
K2 0.333 0.667 0.250
Cl12 0.323 0.393 0.880
Ir2 0.333 0.667 0.750

- Raw formation energy: -745 meV per atom
- Density: 4535 kg/m3
- Crystal system: trigonal
- E: -56.10 eV/cell

No. 20
Entry from Alexandria: a relaxed La8Hg4Ir3Cl crystal (GGA-PBE).

abc: 8.478 9.293 8.478
angles: 117.14 120.00 90.00
Positions (direct):
La1 0.734 0.702 0.468
Ir1 0.000 0.500 0.500
Ir2 0.500 0.500 0.000
Hg1 0.500 0.000 0.000
La2 0.247 0.708 0.493
Ir3 0.500 0.500 0.500
La3 0.247 0.708 0.962
La4 0.753 0.292 0.507
Cl1 0.000 0.500 0.000
Hg2 0.000 0.000 0.500
Hg3 0.500 0.000 0.500
La5 0.715 0.708 0.962
La6 0.285 0.292 0.038
Hg4 0.000 0.000 0.000
La7 0.753 0.292 0.038
La8 0.266 0.298 0.532

- Raw formation energy: -744 meV per atom
- Density: 8530 kg/m3
- Crystal system: trigonal
- E: -80.97 eV/cell